The following is a GGA-PBE calculation of a geometry-optimized SnTeMoI2 structure, from the Alexandria database.

For the raw total energy, the calculation gives -19.029 eV for the cell shown. The value obtained for the total magnetization is 3.55 μB per formula unit. The value obtained for the energy relative to the elements, uncorrected is 0.41 eV per atom. As for the excess energy over the best structure of this formula in the dataset: 0.0 meV per atom.

a b c (Å): 5.5445 5.5445 5.5323
angles (deg): 90.00 90.00 90.00
Space group P4/mmm (No. 123)
One atom of each set of equivalent atoms:
Sn1 0.0000 0.0000 0.0000
Te1 0.5000 0.5000 0.0000
Mo1 0.5000 0.5000 0.5000
I1 0.0000 0.5000 0.5000

---

The following is a GGA-PBE calculation of a geometry-optimized Ti2SnMoI structure, from the Alexandria database.

For the raw total energy, the calculation gives -26.340 eV for the cell shown. The value obtained for the total magnetization is 0.82 μB per formula unit. The value obtained for the energy relative to the elements, uncorrected is 1.17 eV per atom.

a b c (Å): 4.9229 4.9229 4.9316
angles (deg): 90.00 90.00 90.00
Space group P4/mmm (No. 123)
One atom of each set of equivalent atoms:
Ti1 0.0000 0.5000 0.0000
Sn1 0.0000 0.0000 0.5000
Mo1 0.5000 0.5000 0.5000
I1 0.5000 0.5000 0.0000

---

The following is a GGA-PBE calculation of a geometry-optimized SrMoI3 structure, from the Alexandria database.

For the raw total energy, the calculation gives -18.121 eV for the cell shown. The value obtained for the total magnetization is 3.68 μB per formula unit. The value obtained for the energy relative to the elements, uncorrected is -0.19 eV per atom. As for the excess energy over the best structure of this formula in the dataset: 0.0 meV per atom.

a b c (Å): 5.7030 5.7030 5.7030
angles (deg): 90.00 90.00 90.00
Space group Pm-3m (No. 221)
One atom of each set of equivalent atoms:
Sr1 0.0000 0.0000 0.0000
Mo1 0.5000 0.5000 0.5000
I1 0.0000 0.5000 0.5000

---

The following is a GGA-PBE calculation of a geometry-optimized SrMoI2 structure, from the Alexandria database.

For the raw total energy, the calculation gives -59.761 eV for the cell shown. The value obtained for the total magnetization is 5.81 μB per formula unit. The value obtained for the energy relative to the elements, uncorrected is 0.17 eV per atom. As for the excess energy over the best structure of this formula in the dataset: 0.0 meV per atom.

a b c (Å): 8.1480 8.1480 8.1480
angles (deg): 90.00 90.00 90.00
Space group Fm-3m (No. 225)
One atom of each set of equivalent atoms:
Sr1 0.0000 0.0000 0.0000
Mo1 0.0000 0.0000 0.5000
I1 0.2500 0.2500 0.2500

---

The following is a GGA-PBE calculation of a geometry-optimized SrMoI2 structure, from the Alexandria database.

For the raw total energy, the calculation gives -59.707 eV for the cell shown. The value obtained for the total magnetization is 4.00 μB per formula unit. The value obtained for the energy relative to the elements, uncorrected is 0.17 eV per atom. As for the excess energy over the best structure of this formula in the dataset: 3.4 meV per atom.

a b c (Å): 5.7862 5.7862 18.1876
angles (deg): 90.00 90.00 90.00
Space group I-42d (No. 122)
One atom of each set of equivalent atoms:
Sr1 0.0000 0.0000 0.0000
Mo1 0.0000 0.0000 0.5000
I1 0.1991 0.2500 0.6250

---

The following is a GGA-PBE calculation of a geometry-optimized SrMoI3 structure, from the Alexandria database.

For the raw total energy, the calculation gives -16.873 eV for the cell shown. The value obtained for the total magnetization is 5.00 μB per formula unit. The value obtained for the energy relative to the elements, uncorrected is 0.06 eV per atom. As for the excess energy over the best structure of this formula in the dataset: 249.5 meV per atom.

a b c (Å): 6.3397 6.3397 6.3397
angles (deg): 90.00 90.00 90.00
Space group Pm-3m (No. 221)
One atom of each set of equivalent atoms:
Sr1 0.0000 0.0000 0.0000
Mo1 0.5000 0.5000 0.5000
I1 0.0000 0.0000 0.5000